(1)
LiTaN | PBE-GGA | relaxed

Computed properties:
VASP energy, eV/atom: -8.02
Raw formation energy, eV/atom: -0.65
Relative energy among the computed polymorphs, eV per atom: 0.032

The structure in extended XYZ format:
```
3
Lattice="3.005 0.000 0.000 0.000 3.005 0.000 0.000 0.000 4.073" Properties=species:S:1:pos:R:3 pbc="T T T"
Li 0.000 0.000 0.000
Ta 1.502 1.502 2.037
N 0.000 0.000 2.037
```



(2)
SnBi3Pb | PBE-GGA | relaxed

Computed properties:
VASP energy, eV/atom: -3.27
Energy of formation from the pure elements, kJ/mol of formula units: 290.5
Relative energy among the computed polymorphs, eV per atom: 0.535

The structure in extended XYZ format:
```
5
Lattice="5.808 0.000 0.000 0.000 5.808 0.000 0.000 0.000 5.808" Properties=species:S:1:pos:R:3 pbc="T T T"
Sn 0.000 0.000 0.000
Bi 0.000 0.000 2.904
Bi 0.000 2.904 0.000
Bi 2.904 0.000 0.000
Pb 2.904 2.904 2.904
```



(3)
NdGdAu | PBE-GGA | relaxed

Computed properties:
VASP energy, eV/atom: -7.76
Energy of formation from the pure elements, kJ/mol of formula units: -112.1
Relative energy among the computed polymorphs, eV per atom: 0.128

The structure in extended XYZ format:
```
3
Lattice="4.966 0.000 0.000 -2.483 4.301 0.000 0.000 0.000 3.901" Properties=species:S:1:pos:R:3 pbc="T T T"
Nd 0.000 0.000 0.000
Gd 2.483 1.434 2.152
Au 0.000 2.867 1.204
```



(4)
Hg2IrBr8 | PBE-GGA | relaxed

Computed properties:
VASP energy, eV/atom: -2.37
Raw formation energy, eV/atom: -0.29

The structure in extended XYZ format:
```
11
Lattice="7.658 -3.825 0.000 7.658 3.825 0.000 -0.494 0.000 6.857" Properties=species:S:1:pos:R:3 pbc="T T T"
Hg 2.554 0.000 0.808
Hg 12.268 0.000 6.049
Ir -0.247 0.000 3.428
Br 1.856 0.000 4.734
Br 6.418 2.088 4.931
Br 8.404 2.088 1.926
Br 5.067 0.000 0.665
Br 9.755 0.000 6.192
Br 6.418 -2.088 4.931
Br 8.404 -2.088 1.926
Br 12.965 0.000 2.123
```



(5)
SiPb3 | PBE-GGA | relaxed

Computed properties:
VASP energy, eV/atom: -3.78
Raw formation energy, eV/atom: 0.35
Relative energy among the computed polymorphs, eV per atom: 0.082

The structure in extended XYZ format:
```
16
Lattice="7.637 0.000 0.000 0.000 7.637 0.000 0.000 0.000 7.637" Properties=species:S:1:pos:R:3 pbc="T T T"
Si 0.000 0.000 0.000
Si 0.000 3.818 3.818
Si 3.818 0.000 3.818
Si 3.818 3.818 0.000
Pb 0.000 0.000 3.818
Pb 0.000 3.818 0.000
Pb 1.909 1.909 1.909
Pb 1.909 1.909 5.728
Pb 1.909 5.728 1.909
Pb 1.909 5.728 5.728
Pb 3.818 0.000 0.000
Pb 3.818 3.818 3.818
Pb 5.728 1.909 1.909
Pb 5.728 1.909 5.728
Pb 5.728 5.728 1.909
Pb 5.728 5.728 5.728
```



(6)
CrMo6W2 | PBE-GGA | relaxed

Computed properties:
VASP energy, eV/atom: -10.80
Energy of formation from the pure elements, kJ/mol of formula units: 320.3
Relative energy among the computed polymorphs, eV per atom: 0.352

The structure in extended XYZ format:
```
9
Lattice="3.886 -4.104 0.000 3.886 4.104 0.000 -1.315 0.000 4.497" Properties=species:S:1:pos:R:3 pbc="T T T"
Cr 0.000 0.000 0.000
Mo 1.501 1.415 3.740
Mo 3.228 2.737 2.249
Mo 4.955 1.415 0.757
Mo 1.501 -1.415 3.740
Mo 3.228 -2.737 2.249
Mo 4.955 -1.415 0.757
W 2.125 0.000 1.476
W 4.331 0.000 3.022
```



(7)
CrIn2Ir | PBE-GGA | relaxed

Computed properties:
VASP energy, eV/atom: -5.21
Energy of formation from the pure elements, kJ/mol of formula units: 300.8
Relative energy among the computed polymorphs, eV per atom: 0.710

The structure in extended XYZ format:
```
16
Lattice="7.432 0.000 0.000 0.000 7.432 0.000 0.000 0.000 5.500" Properties=species:S:1:pos:R:3 pbc="T T T"
Cr 0.000 0.000 0.000
Cr 0.000 3.716 1.375
Cr 3.716 0.000 4.125
Cr 3.716 3.716 2.750
In 1.808 1.858 3.437
In 1.858 5.524 4.812
In 1.858 5.624 2.062
In 1.908 1.858 0.687
In 5.524 5.574 0.687
In 5.574 1.808 2.062
In 5.574 1.908 4.812
In 5.624 5.574 3.437
Ir 0.000 0.000 2.750
Ir 0.000 3.716 4.125
Ir 3.716 0.000 1.375
Ir 3.716 3.716 0.000
```



(8)
Sr3Ag5Br12 | PBE-GGA | relaxed

Computed properties:
VASP energy, eV/atom: -3.07
Raw formation energy, eV/atom: -1.10

The structure in extended XYZ format:
```
80
Lattice="-8.619 8.619 8.619 8.619 -8.619 8.619 8.619 8.619 -8.619" Properties=species:S:1:pos:R:3 pbc="T T T"
Sr 4.310 2.155 0.000
Sr 8.619 4.310 -2.155
Sr 2.155 0.000 4.310
Sr 10.774 0.000 4.310
Sr 0.000 4.310 2.155
Sr 4.310 -2.155 8.619
Sr 4.310 10.774 0.000
Sr 8.619 4.310 6.464
Sr -2.155 8.619 4.310
Sr 6.464 8.619 4.310
Sr 0.000 4.310 10.774
Sr 4.310 6.464 8.619
Ag 0.000 0.000 0.000
Ag 4.310 4.310 -4.310
Ag 4.310 -4.310 4.310
Ag 8.619 0.000 0.000
Ag 12.929 2.155 0.000
Ag 8.619 -4.310 6.464
Ag 6.464 8.619 -4.310
Ag 6.464 0.000 4.310
Ag 4.310 6.464 0.000
Ag 8.619 4.310 2.155
Ag -4.310 4.310 4.310
Ag 0.000 8.619 0.000
Ag 0.000 0.000 8.619
Ag 4.310 4.310 4.310
Ag 0.000 4.310 6.464
Ag 4.310 2.155 8.619
Ag 2.155 8.619 4.310
Ag 2.155 0.000 12.929
Ag 0.000 12.929 2.155
Ag -4.310 6.464 8.619
Br 2.606 -0.403 1.090
Br 10.323 5.400 -4.712
Br 11.225 0.403 1.090
Br 10.323 -3.219 4.712
Br 8.216 -1.090 2.606
Br 13.331 -1.704 3.219
Br 1.090 2.606 -0.403
Br 11.838 3.907 -1.704
Br 5.400 4.712 -1.704
Br 7.529 2.606 0.403
Br -0.403 1.090 2.606
Br 4.712 -1.704 5.400
Br 8.216 7.529 -2.606
Br 4.712 1.704 3.219
Br 5.400 -4.712 10.323
Br 7.529 -2.606 8.216
Br 3.219 4.712 1.704
Br 9.709 6.013 0.403
Br 4.712 10.323 -3.219
Br 8.216 1.090 6.013
Br 2.606 8.216 -1.090
Br 10.323 3.219 3.907
Br 1.704 3.219 4.712
Br 2.606 0.403 7.529
Br 6.013 8.216 1.090
Br 6.915 5.400 3.907
Br -1.704 5.400 4.712
Br 6.013 0.403 9.709
Br 0.403 7.529 2.606
Br 3.907 -1.704 11.838
Br -1.090 2.606 8.216
Br 5.400 3.907 6.915
Br 1.090 11.225 0.403
Br 3.219 13.331 -1.704
Br 3.907 6.915 5.400
Br 0.403 1.090 11.225
Br 3.907 10.323 3.219
Br 9.022 7.529 6.013
Br 1.090 6.013 8.216
Br 3.219 3.907 10.323
Br -3.219 4.712 10.323
Br 7.529 6.013 9.022
Br -4.712 10.323 5.400
Br 0.403 9.709 6.013
Br -1.704 11.838 3.907
Br -2.606 8.216 7.529
Br -1.704 3.219 13.331
Br 6.013 9.022 7.529
```



(9)
YTlCd2 | PBE-GGA | relaxed

Computed properties:
VASP energy, eV/atom: -2.70
Energy of formation from the pure elements, kJ/mol of formula units: -15.0
Relative energy among the computed polymorphs, eV per atom: 0.234

The structure in extended XYZ format:
```
12
Lattice="3.530 0.000 0.000 -1.765 3.057 0.000 0.000 0.000 29.848" Properties=species:S:1:pos:R:3 pbc="T T T"
Y 0.000 0.000 0.000
Y 0.000 2.038 19.899
Y 1.765 1.019 9.949
Tl 0.000 0.000 22.544
Tl 0.000 2.038 12.594
Tl 1.765 1.019 2.645
Cd 0.000 0.000 7.412
Cd 0.000 0.000 15.049
Cd 0.000 2.038 5.099
Cd 0.000 2.038 27.311
Cd 1.765 1.019 17.361
Cd 1.765 1.019 24.998
```



(10)
Al4Ni3Ru | PBE-GGA | relaxed

Computed properties:
VASP energy, eV/atom: -5.87
Energy of formation from the pure elements, kJ/mol of formula units: -517.7

The structure in extended XYZ format:
```
8
Lattice="2.990 0.000 0.000 0.000 2.990 0.000 0.000 0.000 11.220" Properties=species:S:1:pos:R:3 pbc="T T T"
Al 0.000 0.000 1.375
Al 0.000 0.000 4.176
Al 0.000 0.000 7.043
Al 0.000 0.000 9.845
Ni 1.495 1.495 0.000
Ni 1.495 1.495 2.717
Ni 1.495 1.495 8.503
Ru 1.495 1.495 5.610
```



(11)
KCuIr2 | PBE-GGA | relaxed

Computed properties:
VASP energy, eV/atom: -4.67
Energy of formation from the pure elements, kJ/mol of formula units: 409.8
Relative energy among the computed polymorphs, eV per atom: 0.640

The structure in extended XYZ format:
```
8
Lattice="4.590 0.000 0.000 0.000 4.590 0.000 0.000 0.000 6.456" Properties=species:S:1:pos:R:3 pbc="T T T"
K 0.000 0.000 0.000
K 2.295 2.295 3.228
Cu 0.000 2.295 4.842
Cu 2.295 0.000 1.614
Ir 0.000 0.000 3.228
Ir 0.000 2.295 1.614
Ir 2.295 0.000 4.842
Ir 2.295 2.295 0.000
```



(12)
Dy2Zn3In3 | PBE-GGA | relaxed

Computed properties:
VASP energy, eV/atom: -2.98
Energy of formation from the pure elements, kJ/mol of formula units: -250.7

The structure in extended XYZ format:
```
8
Lattice="4.407 0.000 0.000 0.000 4.451 0.000 0.000 0.000 8.915" Properties=species:S:1:pos:R:3 pbc="T T T"
Dy 0.000 0.000 2.178
Dy 0.000 0.000 6.737
Zn 2.203 0.000 0.000
Zn 2.203 2.226 2.128
Zn 2.203 2.226 6.787
In 0.000 2.226 0.000
In 0.000 2.226 4.458
In 2.203 0.000 4.458
```



(13)
CsGe3W | PBE-GGA | relaxed

Computed properties:
VASP energy, eV/atom: -5.30
Energy of formation from the pure elements, kJ/mol of formula units: 111.9
Relative energy among the computed polymorphs, eV per atom: 0.000

The structure in extended XYZ format:
```
5
Lattice="5.036 0.000 0.000 0.000 5.036 0.000 0.000 0.000 5.036" Properties=species:S:1:pos:R:3 pbc="T T T"
Cs 0.000 0.000 0.000
Ge 0.000 2.518 2.518
Ge 2.518 0.000 2.518
Ge 2.518 2.518 0.000
W 2.518 2.518 2.518
```